The following is a PBE-GGA calculation of an optimized crystal structure of SrPmS2F, from Alexandria via LeMat-Bulk.

a b c (Å): 4.048 4.048 14.308
angles (deg): 90.00 90.00 90.00
Positions (direct):
Sr (0.250, 0.250, 0.102)
Sr (0.750, 0.750, 0.898)
Pm (0.250, 0.250, 0.624)
Pm (0.750, 0.750, 0.376)
S (0.250, 0.250, 0.408)
S (0.250, 0.250, 0.803)
S (0.750, 0.750, 0.197)
S (0.750, 0.750, 0.592)
F (0.250, 0.750, 0.000)
F (0.750, 0.250, 0.000)

- Formation energy from raw total energies: -59.495 kcal/mol of atoms
- Energy: -0.4330 Ry per atom
- Symmetry: P4/nmm (129)